# 1
A plane-wave DFT calculation with PBE was carried out for a geometry-optimized PmErMgSc structure. Values from VASP.

Quantum ESPRESSO input file:
```
&SYSTEM
  ibrav = 0, nat = 4, ntyp = 4
/
ATOMIC_SPECIES
Pm 145.00 Pm.upf
Er 167.26 Er.upf
Mg 24.30 Mg.upf
Sc 44.96 Sc.upf
ATOMIC_POSITIONS angstrom
Pm 1.440 3.237 8.031
Er -0.075 1.493 5.301
Mg 0.286 1.497 1.046
Sc 1.851 3.242 3.178
CELL_PARAMETERS angstrom
3.474 0.007 0.293
-0.008 3.487 0.004
-0.778 -0.011 9.204
```

=====

# 2
A plane-wave DFT calculation with PBE was carried out for a geometry-optimized Nd15Dy4In structure. Values from VASP.

Quantum ESPRESSO input file:
```
&SYSTEM
  ibrav = 0, nat = 20, ntyp = 3
/
ATOMIC_SPECIES
Dy 162.50 Dy.upf
Nd 144.24 Nd.upf
In 114.82 In.upf
ATOMIC_POSITIONS angstrom
Dy -3.065 -2.173 3.453
Dy -6.188 -4.388 6.973
Dy -9.299 -6.594 10.478
Dy -12.422 -8.808 13.997
Nd -1.584 1.136 2.986
Nd -14.083 -7.726 17.069
Nd -14.563 -5.898 13.954
Nd -5.185 0.751 3.387
Nd -7.833 -3.295 10.028
Nd -16.034 -9.201 14.409
Nd -3.535 -0.338 0.327
Nd -9.784 -4.769 7.368
Nd -2.131 2.917 -0.055
Nd -12.906 -6.983 10.885
Nd -11.438 -3.682 10.432
Nd -10.955 -5.508 13.544
Nd -6.663 -2.556 3.851
Nd -4.712 -1.081 6.511
Nd -8.310 -1.464 6.908
In 0.000 0.000 0.000
CELL_PARAMETERS angstrom
-0.180 4.392 2.605
-4.081 1.443 -2.714
-15.487 -10.982 17.450
```

=====

# 3
A plane-wave DFT calculation with PBE was carried out for a geometry-optimized Th5In4Pb structure. Values from VASP.

Quantum ESPRESSO input file:
```
&SYSTEM
  ibrav = 0, nat = 10, ntyp = 3
/
ATOMIC_SPECIES
Th 232.04 Th.upf
Pb 207.20 Pb.upf
In 114.82 In.upf
ATOMIC_POSITIONS angstrom
Th 1.761 1.761 16.271
Th 1.761 1.761 11.650
Th 1.761 1.761 2.423
Th 1.761 1.761 20.877
Th 1.761 1.761 7.029
Pb 0.000 0.000 0.000
In 0.000 0.000 4.711
In 0.000 0.000 18.588
In 0.000 0.000 13.961
In 0.000 0.000 9.339
CELL_PARAMETERS angstrom
3.523 0.000 0.000
0.000 3.523 0.000
0.000 0.000 23.300
```

=====

# 4
A plane-wave DFT calculation with PBE was carried out for a geometry-optimized Sr2LaAu6 structure. Values from VASP.

Quantum ESPRESSO input file:
```
&SYSTEM
  ibrav = 0, nat = 9, ntyp = 3
/
ATOMIC_SPECIES
Au 196.97 Au.upf
Sr 87.62 Sr.upf
La 138.91 La.upf
ATOMIC_POSITIONS angstrom
Au 0.586 4.266 4.018
Au -0.600 -0.883 5.792
Au -2.321 -1.977 1.417
Au -1.169 -0.146 3.149
Au -0.579 2.414 2.267
Au 0.552 0.948 7.523
Sr 1.721 1.106 4.362
Sr -3.490 -2.135 4.579
La 3.469 5.513 5.215
CELL_PARAMETERS angstrom
-3.462 1.166 1.070
-1.776 -7.708 2.656
3.469 5.513 5.215
```

=====

# 5
A plane-wave DFT calculation with PBE was carried out for a geometry-optimized FeIr2W structure. Values from VASP.

Quantum ESPRESSO input file:
```
&SYSTEM
  ibrav = 0, nat = 4, ntyp = 3
/
ATOMIC_SPECIES
Fe 55.84 Fe.upf
W 183.84 W.upf
Ir 192.22 Ir.upf
ATOMIC_POSITIONS angstrom
Fe 1.766 -3.157 3.164
W 1.870 -0.721 1.916
Ir -0.130 -2.426 1.222
Ir 3.596 -1.386 3.684
CELL_PARAMETERS angstrom
-2.018 -0.546 1.764
-0.113 -3.586 -1.239
3.693 -1.423 3.784
```

=====

# 6
A plane-wave DFT calculation with PBE was carried out for a geometry-optimized CsTa3Tl structure. Values from VASP.

Quantum ESPRESSO input file:
```
&SYSTEM
  ibrav = 0, nat = 5, ntyp = 3
/
ATOMIC_SPECIES
Tl 204.38 Tl.upf
Ta 180.95 Ta.upf
Cs 132.91 Cs.upf
ATOMIC_POSITIONS angstrom
Tl 2.536 2.536 2.536
Ta 0.000 2.536 0.000
Ta 0.000 0.000 2.536
Ta 2.536 0.000 0.000
Cs 0.000 0.000 0.000
CELL_PARAMETERS angstrom
5.072 0.000 0.000
0.000 5.072 0.000
0.000 0.000 5.072
```

=====

# 7
A plane-wave DFT calculation with PBE was carried out for a geometry-optimized SmY2ScS6 structure. Values from VASP.

Quantum ESPRESSO input file:
```
&SYSTEM
  ibrav = 0, nat = 10, ntyp = 4
/
ATOMIC_SPECIES
S 32.06 S.upf
Sm 150.36 Sm.upf
Y 88.91 Y.upf
Sc 44.96 Sc.upf
ATOMIC_POSITIONS angstrom
S 7.879 2.243 4.642
S 4.861 3.934 4.641
S 5.688 1.787 1.522
S 5.561 6.059 1.522
S 7.834 5.703 4.641
S 9.325 4.034 1.522
Sm 10.287 5.940 3.428
Y 3.429 1.981 5.846
Y 6.859 3.960 2.698
Sc 3.429 1.979 0.244
CELL_PARAMETERS angstrom
6.858 0.001 0.000
3.429 5.939 0.000
3.429 1.980 6.122
```

=====

# 8
A plane-wave DFT calculation with PBE was carried out for a geometry-optimized Pm3HfO6 structure. Values from VASP.

Quantum ESPRESSO input file:
```
&SYSTEM
  ibrav = 0, nat = 20, ntyp = 3
/
ATOMIC_SPECIES
O 16.00 O.upf
Hf 178.49 Hf.upf
Pm 145.00 Pm.upf
ATOMIC_POSITIONS angstrom
O 3.966 1.351 4.884
O 4.192 0.994 7.996
O 3.725 2.590 2.262
O 1.798 5.233 0.362
O 2.265 3.637 6.096
O 5.016 5.703 2.039
O 0.974 0.524 6.319
O 4.793 4.108 4.541
O 0.971 1.762 0.705
O 5.019 4.465 7.653
O 2.024 4.875 3.474
O 1.197 2.119 3.817
Hf 0.000 0.000 0.000
Hf 2.995 3.113 4.179
Pm 2.841 0.345 1.976
Pm 0.154 3.459 2.203
Pm 5.836 2.768 6.155
Pm 3.149 5.881 6.382
Pm 0.122 0.000 4.118
Pm 2.873 3.113 0.061
CELL_PARAMETERS angstrom
5.746 0.000 0.122
0.000 6.227 0.000
0.244 0.000 8.236
```

=====

# 9
A plane-wave DFT calculation with PBE was carried out for a geometry-optimized BaLiIr2 structure. Values from VASP.

Quantum ESPRESSO input file:
```
&SYSTEM
  ibrav = 0, nat = 4, ntyp = 3
/
ATOMIC_SPECIES
Ir 192.22 Ir.upf
Ba 137.33 Ba.upf
Li 6.94 Li.upf
ATOMIC_POSITIONS angstrom
Ir 1.325 -1.456 2.206
Ir 2.954 0.355 0.970
Ba 2.498 -0.152 5.410
Li 1.239 1.072 2.644
CELL_PARAMETERS angstrom
-0.061 -4.009 1.654
2.964 0.088 0.323
0.443 2.405 5.846
```

=====

# 10
A plane-wave DFT calculation with PBE was carried out for a geometry-optimized Pm8Sn2Ru3 structure. Values from VASP.

Quantum ESPRESSO input file:
```
&SYSTEM
  ibrav = 0, nat = 13, ntyp = 3
/
ATOMIC_SPECIES
Pm 145.00 Pm.upf
Ru 101.07 Ru.upf
Sn 118.71 Sn.upf
ATOMIC_POSITIONS angstrom
Pm 1.914 5.602 1.970
Pm 4.929 0.000 2.940
Pm 2.558 1.893 6.709
Pm 2.558 -1.893 6.709
Pm 1.914 1.815 1.970
Pm -0.625 0.000 6.975
Pm -0.457 3.709 5.739
Pm 5.097 3.709 1.704
Ru 3.198 0.000 0.326
Ru 0.000 1.355 0.000
Ru 0.000 6.062 0.000
Sn 3.390 3.709 4.259
Sn 1.082 0.000 4.420
CELL_PARAMETERS angstrom
6.395 0.000 0.651
0.000 7.417 0.000
-1.923 -3.709 8.028
```

=====

# 11
A plane-wave DFT calculation with PBE was carried out for a geometry-optimized Sm4Ho3ThS8 structure. Values from VASP.

Quantum ESPRESSO input file:
```
&SYSTEM
  ibrav = 0, nat = 16, ntyp = 4
/
ATOMIC_SPECIES
S 32.06 S.upf
Ho 164.93 Ho.upf
Sm 150.36 Sm.upf
Th 232.04 Th.upf
ATOMIC_POSITIONS angstrom
S 3.969 0.068 2.796
S 2.025 2.010 0.045
S 3.969 3.906 2.758
S 0.000 0.068 2.853
S 5.913 2.010 0.045
S -1.944 1.963 5.566
S 1.944 1.963 5.566
S 0.000 3.906 2.815
Ho 3.969 3.970 -0.003
Ho 1.985 1.987 2.805
Ho -1.985 1.987 2.805
Sm 1.985 -1.983 2.808
Sm -1.985 -1.983 2.808
Sm 3.969 0.000 0.000
Sm 0.000 0.000 0.000
Th 0.000 3.970 -0.003
CELL_PARAMETERS angstrom
7.938 0.000 0.000
0.000 7.939 -0.005
-3.969 -3.965 5.616
```

=====

# 12
A plane-wave DFT calculation with PBE was carried out for a geometry-optimized LiCuMo structure. Values from VASP.

Quantum ESPRESSO input file:
```
&SYSTEM
  ibrav = 0, nat = 12, ntyp = 3
/
ATOMIC_SPECIES
Li 6.94 Li.upf
Mo 95.94 Mo.upf
Cu 63.55 Cu.upf
ATOMIC_POSITIONS angstrom
Li -4.661 0.519 3.394
Li -5.400 -0.478 -3.258
Li -5.918 1.447 1.310
Li -4.144 -1.406 -1.175
Mo -6.677 -0.249 -0.789
Mo -3.385 0.290 0.925
Mo -7.177 -0.566 2.797
Mo -2.885 0.607 -2.661
Cu -4.725 1.252 -1.121
Cu -8.487 0.376 0.794
Cu -5.336 -1.211 1.257
Cu -1.574 -0.335 -0.658
CELL_PARAMETERS angstrom
-2.733 1.932 -3.979
-1.828 -3.803 -0.591
-5.501 1.912 4.706
```

=====

no.,uncorrected energy (eV for the cell shown),ρ (g/cm3)
1,-17.252,5.64
2,-93.427,7.22
3,-54.642,10.49
4,-34.740,10.82
5,-39.510,18.23
6,-23.525,11.20
7,-68.700,3.77
8,-172.664,8.00
9,-20.736,10.89
10,-76.976,7.24
11,-104.603,7.44
12,-60.677,6.66